## a
First-principles (meta-GGA SCAN) data for Nd2WO6 at its PBEsol-relaxed geometry, as listed in the Alexandria database.

Summary:
Calculated density (g/cm3): 7.68
N(E_F) (states/eV/f.u.): 0.00

a b c (Å): 16.4804 11.3291 5.5098
angles (deg): 90.00 107.07 90.00
Last column: nearest neighbours and their distance in Å.
Space group C2/c (No. 15)
Symmetry-distinct sites (fractional):
Nd (0.0000, 0.1094, 0.2500)  6 O 2.29-2.43
Nd (0.0000, 0.3705, 0.7500)  8 O 2.35-2.50
Nd (0.1747, 0.1153, 0.8868)  6 O 2.27-2.52
W (0.1531, 0.3498, 0.4332)  4 O 1.82-1.87
O (0.0795, 0.2396, 0.5798)  1 W 2.06
O (0.0806, 0.4627, 0.4783)  1 W 1.82
O (0.0923, 0.0131, 0.0784)  4 Nd 2.27-2.43
O (0.1031, 0.2791, 0.1231)  1 W 1.85
O (0.2307, 0.4483, 0.3580)  1 W 1.83
O (0.2339, 0.2935, 0.7238)  1 W 1.87

***

## b
First-principles (meta-GGA SCAN) data for Nd2WO6 at its PBEsol-relaxed geometry, as listed in the Alexandria database.

Summary:
Calculated density (g/cm3): 7.48
N(E_F) (states/eV/f.u.): 0.00

a b c (Å): 5.3671 9.2770 10.1308
angles (deg): 90.00 90.00 90.00
Last column: nearest neighbours and their distance in Å.
Space group P2_12_12_1 (No. 19)
Symmetry-distinct sites (fractional):
Nd (0.0256, 0.1034, 0.4633)  6 O 2.32-2.49
Nd (0.0323, 0.2193, 0.8697)  7 O 2.39-2.44
W (0.0428, 0.4962, 0.3513)  6 O 1.86-2.01
O (0.0662, 0.8493, 0.0242)  1 W 1.95
O (0.1717, 0.9503, 0.2868)  1 W 1.86
O (0.1842, 0.6382, 0.2396)  1 W 1.90
O (0.1895, 0.6349, 0.8213)  1 W 1.91
O (0.2221, 0.1102, 0.0635)  1 W 1.97
O (0.2472, 0.4092, 0.9907)  1 W 2.01

***

The data favor a; the next most stable structure lies 0.5 kJ/mol of atoms above it.

***

## a
First-principles (meta-GGA SCAN) data for NdZr9O20 at its PBEsol-relaxed geometry, as listed in the Alexandria database.

Summary:
Calculated density (g/cm3): 6.37
N(E_F) (states/eV/f.u.): 8.71

a b c (Å): 6.2678 7.2387 8.0944
angles (deg): 102.99 97.42 106.74
Last column: nearest neighbours and their distance in Å.
Space group P-1 (No. 2)
Symmetry-distinct sites (fractional):
Nd (0.0000, 0.0000, 0.0000)  8 O 2.35-2.37
Zr (0.0000, 0.5000, 0.0000)  8 O 2.16-2.25
Zr (0.2012, 0.4017, 0.4021)  8 O 2.17-2.25
Zr (0.2030, 0.9000, 0.4011)  8 O 2.16-2.24
Zr (0.3980, 0.3008, 0.7985)  8 O 2.16-2.24
Zr (0.3991, 0.7985, 0.8001)  8 O 2.16-2.25
O (0.0482, 0.2386, 0.8406)  3 Zr 2.16-2.20, 1 Nd 2.35
O (0.0519, 0.7062, 0.8386)  3 Zr 2.17-2.18, 1 Nd 2.37
O (0.1448, 0.1723, 0.5467)  4 Zr 2.21-2.24
O (0.1498, 0.6744, 0.5447)  4 Zr 2.18-2.25
O (0.2614, 0.6262, 0.2497)  4 Zr 2.16-2.25
O (0.2692, 0.1346, 0.2647)  3 Zr 2.16-2.20, 1 Nd 2.36
O (0.3547, 0.5745, 0.9510)  4 Zr 2.20-2.24
O (0.3697, 0.0803, 0.9440)  3 Zr 2.17-2.20, 1 Nd 2.35
O (0.4440, 0.0249, 0.6460)  4 Zr 2.16-2.25
O (0.4438, 0.5207, 0.6477)  4 Zr 2.17-2.25

***

## b
First-principles (meta-GGA SCAN) data for NdZr9O20 at its PBEsol-relaxed geometry, as listed in the Alexandria database.

Summary:
Calculated density (g/cm3): 6.14

a b c (Å): 6.2850 7.3744 8.3894
angles (deg): 73.96 75.94 70.53
Last column: nearest neighbours and their distance in Å.
Space group P1 (No. 1)
Symmetry-distinct sites (fractional):
Nd (0.0000, 0.0000, 0.0000)  7 O 2.30-2.47
Zr (0.2077, 0.8024, 0.5907)  6 O 2.08-2.32
Zr (0.2085, 0.2874, 0.5913)  6 O 2.08-2.25
Zr (0.4003, 0.0845, 0.1982)  7 O 2.08-2.28
Zr (0.4338, 0.5999, 0.1853)  7 O 2.04-2.25
Zr (0.5943, 0.8916, 0.7850)  6 O 2.06-2.21
Zr (0.6169, 0.4093, 0.7773)  7 O 2.05-2.28
Zr (0.8091, 0.6847, 0.3935)  6 O 2.09-2.26
Zr (0.8171, 0.2024, 0.3866)  4 O 2.05-2.12
Zr (0.9977, 0.4962, 0.9831)  7 O 2.05-2.29
O (0.0333, 0.1950, 0.1599)  3 Zr 2.05-2.28
O (0.0872, 0.7062, 0.1960)  2 Zr 2.04-2.11
O (0.0897, 0.5930, 0.5205)  3 Zr 2.08-2.18
O (0.1909, 0.1180, 0.4338)  4 Zr 2.10-2.32
O (0.2399, 0.9776, 0.7406)  3 Zr 2.12-2.25, 1 Nd 2.34
O (0.2731, 0.5511, 0.7861)  3 Zr 2.06-2.14
O (0.2992, 0.4047, 0.1061)  3 Zr 2.19-2.20, 2 O 2.32-2.40
O (0.4033, 0.9099, 0.0385)  3 Zr 2.09-2.25
O (0.4212, 0.7765, 0.3587)  3 Zr 2.10-2.28
O (0.4751, 0.3427, 0.3774)  3 Zr 2.06-2.19
O (0.4983, 0.1988, 0.7028)  3 Zr 2.08-2.21
O (0.5933, 0.7141, 0.6299)  3 Zr 2.09-2.22
O (0.6175, 0.1862, 0.9866)  2 Zr 2.05-2.08
O (0.6250, 0.5767, 0.9490)  4 Zr 2.07-2.32
O (0.7140, 0.9868, 0.2883)  3 Zr 2.09-2.30
O (0.7849, 0.5273, 0.2269)  3 Zr 2.11-2.18
O (0.8289, 0.3762, 0.5453)  3 Zr 2.10-2.26
O (0.8662, 0.9506, 0.5713)  3 Zr 2.05-2.21
O (0.8875, 0.7930, 0.8903)  2 Zr 2.05-2.06
O (0.9825, 0.3300, 0.8248)  3 Zr 2.08-2.28

***

The data favor b; the next most stable structure lies 3.0 kJ/mol of atoms above it.

***

## a
First-principles (meta-GGA SCAN) data for PmNd3 at its PBEsol-relaxed geometry, as listed in the Alexandria database.

Summary:
Calculated density (g/cm3): 7.32
N(E_F) (states/eV/f.u.): 5.81

a b c (Å): 5.0808 5.0808 10.1512
angles (deg): 90.00 90.00 90.00
Last column: nearest neighbours and their distance in Å.
Space group I4/mmm (No. 139)
Symmetry-distinct sites (fractional):
Pm (0.0000, 0.0000, 0.0000)  12 Nd 3.59
Nd (0.0000, 0.0000, 0.5000)  8 Nd 3.59, 4 Pm 3.59
Nd (0.0000, 0.5000, 0.2500)  8 Nd 3.59, 4 Pm 3.59

***

## b
First-principles (meta-GGA SCAN) data for PmNd3 at its PBEsol-relaxed geometry, as listed in the Alexandria database.

Summary:
Calculated density (g/cm3): 7.29
N(E_F) (states/eV/f.u.): 6.28

a b c (Å): 7.2021 7.2021 5.8591
angles (deg): 90.00 90.00 120.00
Last column: nearest neighbours and their distance in Å.
Space group P6_3/mmc (No. 194)
Symmetry-distinct sites (fractional):
Pm (0.3333, 0.6667, 0.2500)  12 Nd 3.59-3.60
Nd (0.1667, 0.3334, 0.7500)  4 Pm 3.59-3.60, 8 Nd 3.59-3.60

***

The data favor a; the next most stable structure lies 2.0 kJ/mol of atoms above it.